The following is a DFT calculation (GGA+U) of NaTi3Mn2O8 after structural relaxation.

Cell and atoms, written as CIF:
```
data_NaTi3Mn2O8
_space_group_name_H-M_alt 'R 3 m'
_space_group_IT_number 160
_space_group_name_Hall 'R 3 -2"'
_cell_length_a 6.0843
_cell_length_b 6.0843
_cell_length_c 15.3275
_cell_angle_alpha 90.00
_cell_angle_beta 90.00
_cell_angle_gamma 120.00
loop_
_atom_site_label
_atom_site_type_symbol
_atom_site_fract_x
_atom_site_fract_y
_atom_site_fract_z
_atom_site_occupancy
Na1 Na 0.0000 0.0000 0.0000 1
Ti1 Ti 0.0070 0.5035 0.8756 1
Mn1 Mn 0.0000 0.0000 0.3754 1
Mn2 Mn 0.0000 0.0000 0.7493 1
O1 O 0.0000 0.0000 0.1410 1
O2 O 0.0000 0.0000 0.6114 1
O3 O 0.0326 0.5163 0.1325 1
O4 O 0.1907 0.3815 0.9482 1
```

Calculated total energy = -8.00 eV/atom
D(E_F) = 18.25 states/eV per cell